1.
Entry from the Alexandria database: crystalline KBa4Hg at its relaxed geometry (PBE-GGA).

Lattice parameters (Å, degrees): 8.1376 8.1376 8.1376 60.00 60.00 60.00
Positions (direct):
Ba  0.3754  0.3754  0.3754
Ba  0.3754  0.3754  0.8737
Ba  0.3754  0.8737  0.3754
Ba  0.8737  0.3754  0.3754
Hg  0.7500  0.7500  0.7500
K  0.0000  0.0000  0.0000

The value obtained for the total DFT energy (no corrections) is -7.45 eV per cell. For the formation energy from the elements, the calculation gives 273 meV/atom. For the density of states at the Fermi level, the calculation gives 2.1870 states/eV per atom.



2.
Entry from the Alexandria database: crystalline RbZn2Ir2 at its relaxed geometry (PBE-GGA).

Lattice parameters (Å, degrees): 8.0669 8.0669 2.7797 90.00 90.00 90.00
Positions (direct):
Ir  0.8804  0.6196  0.0000
Ir  0.3804  0.8804  0.0000
Ir  0.1196  0.3804  0.0000
Ir  0.6196  0.1196  0.0000
Rb  0.5000  0.5000  0.0000
Rb  0.0000  0.0000  0.0000
Zn  0.1685  0.6685  0.5000
Zn  0.8315  0.3315  0.5000
Zn  0.6685  0.8315  0.5000
Zn  0.3315  0.1685  0.5000

The value obtained for the total DFT energy (no corrections) is -39.74 eV per cell. Its energy above the most stable polymorph in this dataset is 0 kJ/mol of formula units. For the formation energy from the elements, the calculation gives 273 meV/atom. For the density of states at the Fermi level, the calculation gives 0.9101 states/eV per atom.



3.
Entry from the Alexandria database: crystalline ScCIN2 at its relaxed geometry (PBE-GGA).

Lattice parameters (Å, degrees): 3.9742 3.9742 4.2467 90.00 90.00 90.00
Positions (direct):
N  0.0000  0.5000  0.0000
N  0.5000  0.0000  0.0000
Sc  0.5000  0.5000  0.5000
I  0.0000  0.0000  0.5000
C  0.0000  0.0000  0.0000

The value obtained for the total DFT energy (no corrections) is -24.50 eV per cell. For the density of states at the Fermi level, the calculation gives 0.7419 states/eV per atom.



4.
Entry from the Alexandria database: crystalline Ta2CoBr at its relaxed geometry (PBE-GGA).

Lattice parameters (Å, degrees): 3.1595 3.1595 7.1031 90.00 90.00 90.00
Positions (direct):
Co  0.5000  0.5000  0.8074
Br  0.0000  0.0000  0.4874
Ta  0.5000  0.5000  0.2352
Ta  0.0000  0.0000  0.9701

The value obtained for the total DFT energy (no corrections) is -31.53 eV per cell. Its energy above the most stable polymorph in this dataset is 59 kJ/mol of formula units. For the density of states at the Fermi level, the calculation gives 0.6203 states/eV per atom.



5.
Entry from the Alexandria database: crystalline ZnPt2N at its relaxed geometry (PBE-GGA).

Lattice parameters (Å, degrees): 4.2314 4.2314 4.2314 60.00 60.00 60.00
Positions (direct):
Pt  0.7500  0.7500  0.7500
Pt  0.2500  0.2500  0.2500
Zn  0.5000  0.5000  0.5000
N  0.0000  0.0000  0.0000

The value obtained for the total DFT energy (no corrections) is -17.93 eV per cell. Its energy above the most stable polymorph in this dataset is 196 kJ/mol of formula units. For the density of states at the Fermi level, the calculation gives 1.0963 states/eV per atom.



6.
Entry from the Alexandria database: crystalline Er2Tm3Th3 at its relaxed geometry (PBE-GGA).

Lattice parameters (Å, degrees): 6.0783 6.1477 8.6437 118.39 118.08 70.28
Positions (direct):
Th  0.5000  0.5000  0.0000
Th  0.3765  0.8763  0.7525
Th  0.6235  0.1237  0.2475
Er  0.2508  0.2506  0.5017
Er  0.7492  0.7494  0.4983
Tm  0.1226  0.6228  0.2455
Tm  0.8774  0.3772  0.7545
Tm  0.0000  0.0000  0.0000

The value obtained for the total DFT energy (no corrections) is -44.54 eV per cell. For the formation energy from the elements, the calculation gives 32 meV/atom. For the density of states at the Fermi level, the calculation gives 1.3760 states/eV per atom.